Computed, not measured: a relaxed structure of Li2MgTl2Pb5 at the GGA-PBE level of DFT.

Cell: 4.1596 11.4390 11.4390 Å, 90.00 90.00 90.00°
With the nearest neighbours (Å) after each atom.
Element x y z (fractional)
1 Tl 0.0000 0.1778 0.3222  1 Li 3.15
2 Pb 0.5000 0.7991 0.9402  2 Li 2.96, 2 Mg 3.17
3 Li 0.0000 0.6274 0.8726  6 Pb 2.93-2.96, 1 Tl 3.15
4 Mg 0.0000 0.0000 0.0000  8 Pb 3.17
5 Pb 0.5000 0.7009 0.4402  2 Li 2.96, 2 Mg 3.17
6 Tl 0.0000 0.6778 0.1778  1 Li 3.15
7 Li 0.0000 0.1274 0.6274  6 Pb 2.93-2.96, 1 Tl 3.15
8 Mg 0.0000 0.5000 0.5000  8 Pb 3.17
9 Tl 0.0000 0.8222 0.6778  1 Li 3.15
10 Pb 0.5000 0.2009 0.0598  2 Li 2.96, 2 Mg 3.17
11 Pb 0.5000 0.2991 0.5598  2 Li 2.96, 2 Mg 3.17
12 Tl 0.0000 0.3222 0.8222  1 Li 3.15
13 Li 0.0000 0.3726 0.1274  6 Pb 2.93-2.96, 1 Tl 3.15
14 Pb 0.5000 0.0598 0.7991  2 Li 2.96, 2 Mg 3.17
15 Pb 0.5000 0.9402 0.2009  2 Li 2.96, 2 Mg 3.17
16 Pb 0.5000 0.4402 0.2991  2 Li 2.96, 2 Mg 3.17
17 Pb 0.5000 0.5598 0.7009  2 Li 2.96, 2 Mg 3.17
18 Pb 0.5000 0.5000 0.0000  4 Li 2.93
19 Pb 0.5000 0.0000 0.5000  4 Li 2.93
20 Li 0.0000 0.8726 0.3726  6 Pb 2.93-2.96, 1 Tl 3.15

Computed properties:
Its space-group type is P4/mbm. The calculation puts the total energy at -29.40 eV per formula unit. The formation energy is -70 meV/atom.